A plane-wave DFT calculation with GGA-PBE was carried out for a geometry-optimized La3CoSn structure.

Calculated values
calculated volume: 29.7 A^3/atom
distance to the lowest polymorph of the same formula: 86 meV per atom
VASP energy: -5.54 eV/atom
crystal system: monoclinic
energy relative to the elements: -362 meV per atom
SG: No. 14

abc: 30.7432 6.3043 11.3328
angles: 90.00 164.32 90.00
Fractional positions:
La 0.2536 0.3809 0.6647
La 0.8746 0.6254 0.0084
La 0.6274 0.6274 0.7051
Sn 0.0267 0.1469 0.4709
Co 0.5105 0.8520 0.6272
La 0.3746 0.8746 0.5084
La 0.1274 0.8726 0.2051
La 0.2464 0.8809 0.8353
Sn 0.4733 0.6469 0.0291
La 0.1254 0.3746 0.9916
La 0.7536 0.1191 0.1647
Sn 0.5267 0.3531 0.9709
La 0.8726 0.1274 0.7949
Sn 0.9733 0.8531 0.5291
Co 0.0105 0.6480 0.1272
La 0.7464 0.6191 0.3353
La 0.3726 0.3726 0.2949
Co 0.9895 0.3520 0.8728
Co 0.4895 0.1480 0.3728
La 0.6254 0.1254 0.4916

A plane-wave DFT calculation with GGA-PBE was carried out for a geometry-optimized YGe2Te structure.

Calculated values
calculated volume: 25.1 A^3/atom
VASP energy: -4.87 eV/atom
crystal system: tetragonal
formation energy (no corrections): -0.7 eV per formula unit
SG: No. 122

abc: 8.1666 8.1666 6.5112
angles: 51.16 51.16 90.00
Fractional positions:
Y 0.2500 0.7500 0.5000
Y 0.5000 0.5000 0.0000
Te 0.0000 0.0000 0.0000
Ge 0.6288 0.1250 0.2500
Te 0.7500 0.2500 0.5000
Ge 0.1212 0.6250 0.2500
Ge 0.8750 0.8788 0.7500
Ge 0.3750 0.3712 0.7500

A plane-wave DFT calculation with GGA-PBE was carried out for a geometry-optimized CdH6Pd12 structure.

Calculated values
calculated volume: 13.0 A^3/atom
VASP energy: -4.29 eV/atom
crystal system: trigonal
SG: No. 166

abc: 6.5124 6.5124 6.5124
angles: 103.78 103.78 103.78
Fractional positions:
Pd 0.1828 0.4502 0.4502
H 0.1520 0.1520 0.4836
H 0.1520 0.4836 0.1520
Pd 0.8671 0.5000 0.1329
Cd 0.0000 0.0000 0.0000
H 0.5164 0.8480 0.8480
Pd 0.4502 0.4502 0.1828
Pd 0.8671 0.1329 0.5000
Pd 0.5000 0.1329 0.8671
Pd 0.5498 0.5498 0.8172
H 0.8480 0.8480 0.5164
H 0.8480 0.5164 0.8480
Pd 0.5000 0.8671 0.1329
H 0.4836 0.1520 0.1520
Pd 0.8172 0.5498 0.5498
Pd 0.1329 0.5000 0.8671
Pd 0.1329 0.8671 0.5000
Pd 0.4502 0.1828 0.4502
Pd 0.5498 0.8172 0.5498